Below is a relaxed Rb2MnH12Se2O14 crystal, with properties calculated at the PBE+U level.

```
data_Rb2MnH12Se2O14
_symmetry_space_group_name_H-M 'P 1'
_symmetry_Int_Tables_number 1
_symmetry_space_group_name_Hall 'P 1'
_cell_length_a 12.919
_cell_length_b 6.513
_cell_length_c 9.520
_cell_angle_alpha 75.75
_cell_angle_beta 90.00
_cell_angle_gamma 90.00
loop_
_atom_site_label
_atom_site_fract_x
_atom_site_fract_y
_atom_site_fract_z
Rb1 0.154 0.661 0.634
Rb2 0.654 0.339 0.866
Rb3 0.846 0.339 0.366
Rb4 0.346 0.661 0.134
Mn1 0.500 0.000 0.500
Mn2 0.000 0.000 0.000
H1 0.408 0.678 0.716
H2 0.908 0.322 0.784
H3 0.592 0.322 0.284
H4 0.092 0.678 0.216
H5 0.373 0.900 0.747
H6 0.873 0.100 0.753
H7 0.627 0.100 0.253
H8 0.127 0.900 0.247
H9 0.398 0.081 0.227
H10 0.898 0.919 0.273
H11 0.602 0.919 0.773
H12 0.102 0.081 0.727
H13 0.311 0.011 0.347
H14 0.811 0.989 0.153
H15 0.689 0.989 0.653
H16 0.189 0.011 0.847
H17 0.564 0.663 0.393
H18 0.064 0.337 0.107
H19 0.436 0.337 0.607
H20 0.936 0.663 0.893
H21 0.642 0.669 0.522
H22 0.142 0.331 0.978
H23 0.358 0.331 0.478
H24 0.858 0.669 0.022
Se1 0.360 0.272 0.906
Se2 0.860 0.728 0.594
Se3 0.640 0.728 0.094
Se4 0.140 0.272 0.406
O1 0.257 0.428 0.911
O2 0.757 0.572 0.589
O3 0.743 0.572 0.089
O4 0.243 0.428 0.411
O5 0.427 0.235 0.059
O6 0.927 0.765 0.441
O7 0.573 0.765 0.941
O8 0.073 0.235 0.559
O9 0.437 0.402 0.770
O10 0.937 0.598 0.730
O11 0.563 0.598 0.230
O12 0.063 0.402 0.270
O13 0.321 0.039 0.877
O14 0.821 0.961 0.623
O15 0.679 0.961 0.123
O16 0.179 0.039 0.377
O17 0.388 0.827 0.669
O18 0.888 0.173 0.831
O19 0.612 0.173 0.331
O20 0.112 0.827 0.169
O21 0.385 0.984 0.324
O22 0.885 0.016 0.176
O23 0.615 0.016 0.676
O24 0.115 0.984 0.824
O25 0.570 0.707 0.486
O26 0.070 0.293 0.014
O27 0.430 0.293 0.514
O28 0.930 0.707 0.986
```

E = -5.22 eV/atom